Co2Se2S: relaxed, PBE-GGA.

Cell: 6.172 6.173 5.708 Å, 97.69 97.69 124.59°
Atoms (fractional coordinates):
S  0.041  0.959  0.750
Co  0.681  0.868  0.486
Co  0.868  0.681  0.986
Se  0.555  0.445  0.250
Co  0.319  0.132  0.514
Se  0.747  0.253  0.750
Se  0.445  0.555  0.750
Se  0.253  0.747  0.250
S  0.959  0.041  0.250
Co  0.132  0.319  0.014

Summary:
ΔE to the lowest computed polymorph: 0.0 meV/atom
Formation energy (no corrections): -178.1 meV per atom
Total moment: 0.0000 μB/atom
Calculated volume: 17.1 Å³ per atom
Total energy: -5.240 eV per atom
Mass density: 5.96 g/cm³